1.
AcCoGe: optimized geometry, PBE.

Calculated values
E above lowest polymorph   0.830 eV per atom

Cell: 6.9706 6.9706 6.9706 Å, 90.00 90.00 90.00°
Space group F-43m (No. 216)
Unique sites:
Ac 0.0000 0.0000 0.0000 x4
Co 0.2500 0.2500 0.7500 x4
Ge 0.2500 0.2500 0.2500 x4

2.
AcHoCo: optimized geometry, PBE.

Calculated values
DFT formation energy   0.77 eV per atom
E above lowest polymorph   0.692 eV per atom

Cell: 5.1542 5.1542 9.7008 Å, 90.00 90.00 120.00°
Space group P-6m2 (No. 187)
Unique sites:
Ac 0.0000 0.0000 0.0000 x1
Ac 0.3333 0.6667 0.3302 x2
Ho 0.0000 0.0000 0.3428 x2
Ho 0.3333 0.6667 0.0000 x1
Co 0.6667 0.3333 0.1481 x2
Co 0.6667 0.3333 0.5000 x1

3.
AcHoCo: optimized geometry, PBE.

Calculated values
DFT formation energy   0.08 eV per atom
E above lowest polymorph   0.000 eV per atom

Cell: 6.9416 6.9416 6.9416 Å, 90.00 90.00 90.00°
Space group F-43m (No. 216)
Unique sites:
Ac 0.0000 0.0000 0.0000 x4
Ho 0.0000 0.0000 0.5000 x4
Co 0.2500 0.2500 0.2500 x4

4.
AcCoIr: optimized geometry, PBE.

Calculated values
DFT formation energy   0.21 eV per atom

Cell: 6.4350 6.4350 6.4350 Å, 90.00 90.00 90.00°
Space group F-43m (No. 216)
Unique sites:
Ac 0.0000 0.0000 0.0000 x4
Co 0.2500 0.2500 0.2500 x4
Ir 0.0000 0.0000 0.5000 x4

5.
KAcCo: optimized geometry, PBE.

Calculated values
E above lowest polymorph   0.000 eV per atom

Cell: 7.2192 7.2192 7.2192 Å, 90.00 90.00 90.00°
Space group F-43m (No. 216)
Unique sites:
K 0.0000 0.0000 0.0000 x4
Ac 0.0000 0.0000 0.5000 x4
Co 0.2500 0.2500 0.7500 x4

6.
LiAcCo: optimized geometry, PBE.

Calculated values
E   -46.5 eV for the cell shown

Cell: 6.3763 6.3763 6.3763 Å, 90.00 90.00 90.00°
Space group F-43m (No. 216)
Unique sites:
Li 0.0000 0.0000 0.0000 x4
Ac 0.2500 0.2500 0.2500 x4
Co 0.2500 0.2500 0.7500 x4

7.
AcLuCo: optimized geometry, PBE.

Calculated values
DFT formation energy   0.86 eV per atom

Cell: 6.8585 6.8585 6.8585 Å, 90.00 90.00 90.00°
Space group F-43m (No. 216)
Unique sites:
Ac 0.0000 0.0000 0.0000 x4
Lu 0.2500 0.2500 0.2500 x4
Co 0.0000 0.0000 0.5000 x4

8.
AcMg2Co: optimized geometry, PBE.

Calculated values
E   -12.2 eV for the cell shown

Cell: 3.2413 3.2413 9.7003 Å, 90.00 90.00 90.00°
Space group P4/mmm (No. 123)
Unique sites:
Ac 0.0000 0.0000 0.0000 x1
Mg 0.0000 0.0000 0.3558 x2
Co 0.5000 0.5000 0.5000 x1

9.
NaAcCo: optimized geometry, PBE.

Calculated values
E above lowest polymorph   0.342 eV per atom

Cell: 3.3010 15.1767 8.7812 Å, 90.00 90.00 90.00°
Space group Amm2 (No. 38)
Unique sites:
Na 0.0000 0.0000 0.0000 x2
Na 0.0000 0.1664 0.5008 x4
Ac 0.0000 0.0000 0.3329 x2
Ac 0.0000 0.1670 0.8338 x4
Co 0.5000 0.0000 0.6673 x2
Co 0.5000 0.1666 0.1671 x4

10.
NaAcCo: optimized geometry, PBE.

Calculated values
E above lowest polymorph   0.000 eV per atom

Cell: 6.8779 6.8779 6.8779 Å, 90.00 90.00 90.00°
Space group F-43m (No. 216)
Unique sites:
Na 0.0000 0.0000 0.0000 x4
Ac 0.0000 0.0000 0.5000 x4
Co 0.2500 0.2500 0.7500 x4

11.
AcCoNi: optimized geometry, PBE.

Calculated values
DFT formation energy   0.31 eV per atom
E above lowest polymorph   0.000 eV per atom

Cell: 6.2281 6.2281 6.2281 Å, 90.00 90.00 90.00°
Space group F-43m (No. 216)
Unique sites:
Ac 0.0000 0.0000 0.0000 x4
Co 0.2500 0.2500 0.2500 x4
Ni 0.0000 0.0000 0.5000 x4